This record from Alexandria describes a relaxed NaSr4As4 crystal. The functional is PBEsol.

Computed properties:
Formation enthalpy at 0 K = -0.98 eV per atom
Symmetry = Pnma (62)
Total magnetization = 0.0594 μB per atom
N(E_F) = 0.454 states/eV per atom

Unit cell a=7.7058 b=15.7306 c=8.1528 alpha=90.00 beta=90.00 gamma=90.00
Atoms (fractional coordinates):
Na 0.1836 0.2500 0.0181
Na 0.3164 0.7500 0.5181
Na 0.6836 0.2500 0.4819
Na 0.8164 0.7500 0.9819
Sr 0.0011 0.5958 0.6914
Sr 0.0011 0.9042 0.6914
Sr 0.1453 0.6232 0.1716
Sr 0.1453 0.8768 0.1716
Sr 0.3547 0.1232 0.6716
Sr 0.3547 0.3768 0.6716
Sr 0.4989 0.0958 0.1914
Sr 0.4989 0.4042 0.1914
Sr 0.5011 0.5958 0.8086
Sr 0.5011 0.9042 0.8086
Sr 0.6453 0.6232 0.3284
Sr 0.6453 0.8768 0.3284
Sr 0.8547 0.1232 0.8284
Sr 0.8547 0.3768 0.8284
Sr 0.9989 0.0958 0.3086
Sr 0.9989 0.4042 0.3086
As 0.0531 0.2500 0.5855
As 0.1906 0.0364 0.9648
As 0.1906 0.4636 0.9648
As 0.2116 0.7500 0.8733
As 0.2884 0.2500 0.3733
As 0.3094 0.5364 0.4648
As 0.3094 0.9636 0.4648
As 0.4469 0.7500 0.0855
As 0.5531 0.2500 0.9145
As 0.6906 0.0364 0.5352
As 0.6906 0.4636 0.5352
As 0.7116 0.7500 0.6267
As 0.7884 0.2500 0.1267
As 0.8094 0.5364 0.0352
As 0.8094 0.9636 0.0352
As 0.9469 0.7500 0.4145